Arrangement i

Below is a geometry-optimized Al2ReTc structure, with properties calculated at the PBE-GGA level.

## Properties
Calculated volume: 59 Å³/cell

abc: 4.472 2.854 4.586
angles: 89.99 90.00 90.00
Positions (direct):
Al  0.000  0.875  0.049
Al  0.500  0.375  0.201
Tc  0.500  0.875  0.712
Re  0.000  0.375  0.538

Arrangement ii

Below is a geometry-optimized Al2ReTc structure, with properties calculated at the PBE-GGA level.

## Properties
Calculated volume: 58 Å³/cell

abc: 2.777 3.872 5.437
angles: 90.00 90.00 90.00
Positions (direct):
Re  0.500  0.500  0.250
Al  0.000  0.000  0.999
Tc  0.500  0.500  0.750
Al  0.000  0.000  0.501

Energies relative to the most stable structure, in meV per atom: arrangement i 0; arrangement ii 146.

Arrangement i

Below is a geometry-optimized AlRe3Tc structure, with properties calculated at the PBE-GGA level.

## Properties
Calculated volume: 84 Å³/cell

abc: 4.377 4.377 4.377
angles: 90.00 90.00 90.00
Positions (direct):
Re  0.500  0.000  0.000
Re  0.000  0.500  0.000
Re  0.000  0.000  0.500
Tc  0.500  0.500  0.500
Al  0.000  0.000  0.000

Arrangement ii

Below is a geometry-optimized AlRe3Tc structure, with properties calculated at the PBE-GGA level.

## Properties
Calculated volume: 101 Å³/cell

abc: 4.652 4.652 4.652
angles: 90.00 90.00 90.00
Positions (direct):
Al  0.500  0.500  0.500
Re  0.000  0.500  0.000
Re  0.500  0.000  0.000
Re  0.000  0.000  0.500
Tc  0.000  0.000  0.000

Energies relative to the most stable structure, in meV per atom: arrangement i 0; arrangement ii 274.

Arrangement i

Below is a geometry-optimized AlReTe3 structure, with properties calculated at the PBE-GGA level.

## Properties
Calculated volume: 146 Å³/cell

abc: 5.270 5.270 5.270
angles: 90.00 90.00 90.00
Site moments in Bohr magnetons follow the coordinates.
Positions (direct):
Te  0.000  0.000  0.500  -0.10
Te  0.500  0.000  0.000  -0.10
Re  0.500  0.500  0.500  3.70
Al  0.000  0.000  0.000  0.00
Te  0.000  0.500  0.000  -0.13

Arrangement ii

Below is a geometry-optimized AlReTe3 structure, with properties calculated at the PBE-GGA level.

## Properties
Calculated volume: 148 Å³/cell

abc: 5.295 5.295 5.295
angles: 90.00 90.00 90.00
Positions (direct):
Te  0.500  0.000  0.000
Te  0.000  0.000  0.500
Te  0.000  0.500  0.000
Al  0.500  0.500  0.500
Re  0.000  0.000  0.000

Energies relative to the most stable structure, in meV per atom: arrangement i 551; arrangement ii 0.

Arrangement i

Below is a geometry-optimized TiAl2Re structure, with properties calculated at the PBE-GGA level.

## Properties
Calculated volume: 133 Å³/cell

abc: 3.752 3.752 9.805
angles: 78.97 78.97 90.00
Positions (direct):
Ti  0.500  0.500  0.000
Re  0.750  0.250  0.500
Al  0.119  0.625  0.250
Re  0.000  0.000  0.000
Al  0.375  0.369  0.750
Al  0.875  0.881  0.750
Al  0.631  0.125  0.250
Ti  0.250  0.750  0.500

Arrangement ii

Below is a geometry-optimized TiAl2Re structure, with properties calculated at the PBE-GGA level.

## Properties
Calculated volume: 60 Å³/cell

abc: 4.393 4.393 4.393
angles: 60.00 60.00 60.00
Positions (direct):
Re  0.500  0.500  0.500
Al  0.750  0.750  0.750
Al  0.250  0.250  0.250
Ti  0.000  0.000  0.000

Arrangement iii

Below is a geometry-optimized TiAl2Re structure, with properties calculated at the PBE-GGA level.

## Properties
Calculated volume: 61 Å³/cell

abc: 3.280 3.280 5.652
angles: 90.00 90.00 90.00
Positions (direct):
Ti  0.500  0.500  0.500
Al  0.000  0.000  0.234
Re  0.500  0.500  0.000
Al  0.000  0.000  0.766

Energies relative to the most stable structure, in meV per atom: arrangement i 370; arrangement ii 0; arrangement iii 25.